First-principles (PBE) data for crystalline KLa2Au at its relaxed geometry, as listed in Alexandria via LeMat-Bulk.

The theoretical density is 5.39 Mg/m³. The total energy comes out at -3.769 eV per atom. The formation energy is -0.212 eV per atom. The value obtained for the size of the total moment is 0.13 μB/f.u. For the density of states at the Fermi level, the calculation gives 5.819 states/eV per cell.

a = 3.848 Å, b = 3.853 Å, c = 11.358 Å
α = 70.11°, β = 90.00°, γ = 90.00°
Sites, in units of the cell vectors:
La 0.000 0.592 0.407
La 0.000 0.908 0.093
K 0.500 0.750 0.750
Au 0.500 0.250 0.250